[1]
Entry from Alexandria via LeMat-Bulk: a geometry-optimized RbCuMoCl6 structure (PBE).

Crystal system ... trigonal
Space-group type ... P312 (149)
Total DFT energy (no corrections) ... -4.01 eV/atom

Cell lengths 6.4679, 6.4680, 7.3647 Å; angles 90.00, 90.00, 59.99 degrees
Site moments in Bohr magnetons follow the coordinates.
Positions (direct):
Cl 0.3738 0.6368 0.3137  -0.01
Cl 0.9892 0.6369 0.6864  -0.01
Mo 0.6667 0.6667 0.5000  1.99
Cl 0.6368 0.9892 0.3136  0.00
Rb 0.9999 0.0000 0.0000  0.00
Cl 0.6368 0.3739 0.6864  -0.01
Cu 0.3335 0.3333 0.5000  -0.27
Cl 0.3738 0.9894 0.6862  -0.01
Cl 0.9893 0.3739 0.3137  -0.01

***

[2]
Entry from Alexandria via LeMat-Bulk: a geometry-optimized Rb2CuMoCl6 structure (PBE).

Crystal system ... trigonal
Space-group type ... R-3m (166)
Total DFT energy (no corrections) ... -4.00 eV/atom

Cell lengths 7.1845, 7.1845, 12.5185 Å; angles 73.32, 73.32, 60.00 degrees
Site moments in Bohr magnetons follow the coordinates.
Positions (direct):
Cl 0.2039 0.7141 0.8781  0.02
Cl 0.2039 0.2039 0.8781  0.02
Cu 0.5835 0.5835 0.2495  0.00
Cl 0.3798 0.8622 0.3783  0.02
Cl 0.7961 0.7961 0.1219  0.02
Rb 0.1226 0.1226 0.6321  0.00
Cl 0.1378 0.6202 0.6217  0.02
Cu 0.4165 0.4165 0.7505  0.00
Cl 0.2859 0.7961 0.1219  0.02
Mo 0.0000 0.0000 0.0000  2.53
Cl 0.8622 0.3798 0.3783  0.02
Cl 0.3798 0.3798 0.3783  0.02
Mo 0.5000 0.5000 0.5000  2.29
Cl 0.7961 0.2859 0.1219  0.02
Cl 0.6202 0.6202 0.6217  0.02
Rb 0.8774 0.8774 0.3679  0.00
Rb 0.2947 0.2947 0.1159  0.00
Cl 0.6202 0.1378 0.6217  0.02
Rb 0.7053 0.7053 0.8841  0.00
Cl 0.7141 0.2039 0.8781  0.02

***

[3]
Entry from Alexandria via LeMat-Bulk: a geometry-optimized Rb2CuMoCl6 structure (PBE).

Crystal system ... cubic
Space-group type ... Fm-3m (225)
Total DFT energy (no corrections) ... -3.99 eV/atom

Cell lengths 7.1158, 7.1158, 7.1158 Å; angles 60.00, 60.00, 60.00 degrees
Site moments in Bohr magnetons follow the coordinates.
Positions (direct):
Cl 0.7535 0.2465 0.7535  0.02
Rb 0.7500 0.7500 0.7500  0.00
Cl 0.2465 0.7535 0.7535  0.02
Cl 0.2465 0.2465 0.7535  0.02
Cl 0.7535 0.7535 0.2465  0.02
Mo 0.0000 0.0000 0.0000  2.44
Cu 0.5000 0.5000 0.5000  -0.01
Cl 0.7535 0.2465 0.2465  0.02
Cl 0.2465 0.7535 0.2465  0.02
Rb 0.2500 0.2500 0.2500  0.00

***

[4]
Entry from Alexandria via LeMat-Bulk: a geometry-optimized Rb2CuMoCl6 structure (PBE).

Crystal system ... tetragonal
Space-group type ... I4/mmm (139)
Total DFT energy (no corrections) ... -3.98 eV/atom

Cell lengths 7.6819, 7.6819, 7.0838 Å; angles 57.17, 57.17, 90.00 degrees
Site moments in Bohr magnetons follow the coordinates.
Positions (direct):
Cl 0.7726 0.7726 0.0000  0.02
Cl 0.7726 0.2274 0.0000  0.02
Mo 0.0000 0.0000 0.0000  2.43
Cl 0.7338 0.7338 0.5324  0.03
Rb 0.7500 0.2500 0.5000  0.00
Rb 0.2500 0.7500 0.5000  0.00
Cl 0.2274 0.7726 0.0000  0.02
Cl 0.2274 0.2274 0.0000  0.02
Cu 0.5000 0.5000 0.0000  0.01
Cl 0.2662 0.2662 0.4676  0.03

***

[5]
Entry from Alexandria via LeMat-Bulk: a geometry-optimized CuRe2MoCl structure (PBE).

Crystal system ... tetragonal
Space-group type ... P4/mmm (123)
Total DFT energy (no corrections) ... -6.36 eV/atom

Cell lengths 4.8051, 4.6884, 4.8051 Å; angles 90.00, 90.00, 90.00 degrees
Site moments in Bohr magnetons follow the coordinates.
Positions (direct):
Re 0.0000 0.0000 0.5000  1.33
Cl 0.0000 0.5000 0.0000  0.05
Mo 0.0000 0.0000 0.0000  -0.35
Cu 0.5000 0.5000 0.5000  0.08
Re 0.5000 0.0000 0.0000  1.55

***

[6]
Entry from Alexandria via LeMat-Bulk: a geometry-optimized Cu2ReMoCl structure (PBE).

Crystal system ... tetragonal
Space-group type ... P4/mmm (123)
Total DFT energy (no corrections) ... -4.93 eV/atom

Cell lengths 4.8174, 4.7219, 4.8174 Å; angles 90.00, 90.00, 90.00 degrees
Site moments in Bohr magnetons follow the coordinates.
Positions (direct):
Mo 0.0000 0.0000 0.0000  -0.38
Re 0.0000 0.5000 0.0000  1.73
Cl 0.5000 0.5000 0.5000  0.05
Cu 0.5000 0.0000 0.0000  0.00
Cu 0.0000 0.0000 0.5000  -0.01

***

Asked for ΔE_f (raw) across the records above, the calculation gives -97.62; -116.72; -115.02; -114.18; 190.32; 167.40 kJ/mol of atoms in order.